Entry 1:
Compound: TeAu2Se
Source: Alexandria via LeMat-Bulk
Functional: PBE
Structure: relaxed

Output
Total energy   -3.0928 eV/atom
Formation energy (no corrections)   0.2025 eV/atom

abc: 6.9293 6.9293 6.9293
angles: 148.75 147.48 45.73
Last column: nearest neighbours and their distance in Å.
Fractional coordinates of all 4 atoms:
Se 0.4554 0.4554 0.0000  6 Au 2.71-2.88
Te 0.2020 0.7020 0.5000  6 Au 2.83-3.01
Au 0.0358 0.0358 0.0000  2 Te 2.83, 4 Se 2.88
Au 0.8069 0.3069 0.5000  2 Se 2.71, 4 Te 3.01

Entry 2:
Compound: Te2AuSe
Source: Alexandria via LeMat-Bulk
Functional: PBE
Structure: relaxed

Output
Total energy   -2.8608 eV/atom
Formation energy (no corrections)   0.4005 eV/atom

abc: 5.1289 5.1289 5.1289
angles: 60.00 60.00 60.00
Last column: nearest neighbours and their distance in Å.
Fractional coordinates of all 4 atoms:
Te 0.0000 0.0000 0.0000  4 Se 3.14, 4 Te 3.14
Te 0.2500 0.2500 0.2500  4 Te 3.14, 4 Au 3.14
Au 0.5000 0.5000 0.5000  4 Se 3.14, 4 Te 3.14
Se 0.7500 0.7500 0.7500  4 Au 3.14, 4 Te 3.14

Entry 3:
Compound: Te2AuSe
Source: Alexandria via LeMat-Bulk
Functional: PBE
Structure: relaxed

Output
Total energy   -2.9995 eV/atom
Formation energy (no corrections)   0.2618 eV/atom

abc: 3.5420 3.5420 9.0306
angles: 90.00 90.00 115.60
Last column: nearest neighbours and their distance in Å.
Fractional coordinates of all 4 atoms:
Te 0.0000 0.0000 0.9800  2 Se 3.06, 2 Te 3.39
Te 0.5000 0.5000 0.2919  2 Au 2.76
Au 0.0000 0.0000 0.5149  2 Se 2.60, 2 Te 2.76
Se 0.5000 0.5000 0.7132  2 Au 2.60

Entry 4:
Compound: Te2AuSe
Source: Alexandria via LeMat-Bulk
Functional: PBE
Structure: relaxed

Output
Total energy   -3.2410 eV/atom
Formation energy (no corrections)   0.0203 eV/atom

abc: 7.1729 7.1729 7.1729
angles: 34.09 34.09 34.09
Last column: nearest neighbours and their distance in Å.
Fractional coordinates of all 4 atoms:
Te 0.0027 0.0027 0.0027  3 Se 3.06, 3 Te 3.11
Te 0.2404 0.2404 0.2404  3 Au 2.90, 3 Te 3.11
Au 0.4955 0.4955 0.4955  3 Se 2.79, 3 Te 2.90
Se 0.7614 0.7614 0.7614  3 Au 2.79, 3 Te 3.06

Entry 5:
Compound: TeAu2Se2
Source: Alexandria via LeMat-Bulk
Functional: PBE
Structure: relaxed

Output
Total energy   -3.0109 eV/atom
Formation energy (no corrections)   0.3222 eV/atom

abc: 7.7170 7.7170 3.5960
angles: 90.00 90.00 90.00
Last column: nearest neighbours and their distance in Å.
Fractional coordinates of all 10 atoms:
Se 0.1674 0.6674 0.5000  6 Au 2.80-2.96
Se 0.8326 0.3326 0.5000  6 Au 2.80-2.96
Se 0.3326 0.1674 0.5000  6 Au 2.80-2.96
Se 0.6674 0.8326 0.5000  6 Au 2.80-2.96
Au 0.6363 0.1363 0.0000  6 Se 2.80-2.96, 1 Au 2.98, 2 Te 3.00
Au 0.3637 0.8637 0.0000  6 Se 2.80-2.96, 1 Au 2.98, 2 Te 3.00
Au 0.8637 0.6363 0.0000  6 Se 2.80-2.96, 1 Au 2.98, 2 Te 3.00
Au 0.1363 0.3637 0.0000  6 Se 2.80-2.96, 1 Au 2.98, 2 Te 3.00
Te 0.0000 0.0000 0.0000  4 Au 3.00
Te 0.5000 0.5000 0.0000  4 Au 3.00

Entry 6:
Compound: Te2AuSe
Source: Alexandria via LeMat-Bulk
Functional: PBE
Structure: relaxed

Output
Total energy   -2.9336 eV/atom
Formation energy (no corrections)   0.3277 eV/atom

abc: 3.0140 3.0140 12.5155
angles: 90.00 90.00 90.00
Last column: nearest neighbours and their distance in Å.
Fractional coordinates of all 4 atoms:
Se 0.5000 0.5000 0.6791  4 Au 2.98, 4 Se 3.01
Au 0.0000 0.0000 0.5133  4 Se 2.98, 4 Au 3.01, 4 Te 3.32
Te 0.5000 0.5000 0.3098  4 Te 3.01, 4 Au 3.32
Te 0.0000 0.0000 0.9978  4 Te 3.01

Entry 7:
Compound: TeAu2Se
Source: Alexandria via LeMat-Bulk
Functional: PBE
Structure: relaxed

Output
Total energy   -2.9612 eV/atom
Formation energy (no corrections)   0.3340 eV/atom

abc: 6.0188 6.0188 6.0188
angles: 140.36 140.36 57.30
Last column: nearest neighbours and their distance in Å.
Fractional coordinates of all 4 atoms:
Se 0.2500 0.7500 0.5000  4 Te 2.89
Au 0.0000 0.0000 0.0000  4 Au 2.89
Au 0.5000 0.5000 0.0000  4 Au 2.89
Te 0.7500 0.2500 0.5000  4 Se 2.89

Entry 8:
Compound: Te4AuSe
Source: Alexandria via LeMat-Bulk
Functional: PBE
Structure: relaxed

Output
Total energy   -2.5530 eV/atom
Formation energy (no corrections)   0.6684 eV/atom

abc: 6.2217 6.2217 6.2217
angles: 60.00 60.00 60.00
Last column: nearest neighbours and their distance in Å.
Fractional coordinates of all 6 atoms:
Te 0.3737 0.3737 0.8789  6 Te 3.08-3.14
Te 0.3737 0.8789 0.3737  6 Te 3.08-3.14
Te 0.3737 0.3737 0.3737  6 Te 3.08-3.14
Te 0.8789 0.3737 0.3737  6 Te 3.08-3.14
Au 0.7500 0.7500 0.7500  12 Te 3.65, 4 Se 3.81
Se 0.0000 0.0000 0.0000  12 Te 3.64, 4 Au 3.81

Entry 9:
Compound: TeAu2Se
Source: Alexandria via LeMat-Bulk
Functional: PBE
Structure: relaxed

Output
Total energy   -3.0630 eV/atom
Formation energy (no corrections)   0.2322 eV/atom

abc: 4.0199 4.0199 7.6997
angles: 90.00 90.00 123.49
Last column: nearest neighbours and their distance in Å.
Fractional coordinates of all 4 atoms:
Au 0.0000 0.0000 0.0124  2 Se 2.64, 2 Te 2.78
Au 0.0000 0.0000 0.4876  2 Se 2.64, 2 Te 2.78
Te 0.5000 0.5000 0.7500  4 Au 2.78
Se 0.5000 0.5000 0.2500  4 Au 2.64

Entry 10:
Compound: TeAu2Se
Source: Alexandria via LeMat-Bulk
Functional: PBE
Structure: relaxed

Output
Total energy   -2.9525 eV/atom
Formation energy (no corrections)   0.3428 eV/atom

abc: 5.2995 4.0779 4.0779
angles: 90.00 90.00 90.00
Last column: nearest neighbours and their distance in Å.
Fractional coordinates of all 4 atoms:
Au 0.0000 0.5000 0.5000  4 Au 2.88
Au 0.0000 0.0000 0.0000  4 Au 2.88
Te 0.5000 0.0000 0.5000  4 Se 2.88
Se 0.5000 0.5000 0.0000  4 Te 2.88